Entry 1:
LaMg2Re, optimized geometry, DFT PBE; space-group type = I-4m2, No. 119; energy of formation = 417 meV per atom; crystal system = tetragonal; excess energy over the best structure of this formula in the dataset = 0.47 eV/f.u.; total magnetization = 0.000 μB/cell; DFT total energy = -4.72 eV/atom
1.0
-2.480 2.480 3.515
2.480 -2.480 3.515
2.480 2.480 -3.515
La Mg Re
1 2 1
Cartesian
0.000 0.000 0.000 La
2.480 0.000 1.757 Mg
0.000 0.000 3.515 Mg
0.000 2.480 1.757 Re


Entry 2:
Dy5YIn2, optimized geometry, DFT PBE; space-group type = Immm, No. 71; energy of formation = -82 meV per atom; crystal system = orthorhombic; excess energy over the best structure of this formula in the dataset = 1.50 eV/f.u.; total magnetization = 0.026 μB/cell; DFT total energy = -4.45 eV/atom
1.0
-2.248 4.906 5.596
2.248 -4.906 5.596
2.248 4.906 -5.596
Dy Y In
5 1 2
Cartesian
0.000 0.000 0.000 Dy
2.248 1.858 -1.713 Dy
2.248 1.858 1.713 Dy
0.000 3.048 3.883 Dy
0.000 3.048 7.309 Dy
0.000 4.906 0.000 Y
0.000 0.000 3.229 In
0.000 0.000 7.963 In


Entry 3:
FeTc2Au, optimized geometry, DFT PBE; space-group type = Cm, No. 8; energy of formation = 272 meV per atom; crystal system = monoclinic; excess energy over the best structure of this formula in the dataset = 0.31 eV/f.u.; total magnetization = 2.164 μB/cell; DFT total energy = -7.85 eV/atom
1.0
4.523 -1.376 0.000
4.523 1.376 0.000
-0.874 0.000 4.742
Fe Tc Au
1 2 1
Cartesian
0.000 0.000 0.000 Fe
1.718 0.000 3.566 Tc
4.124 0.000 2.571 Tc
6.588 0.000 1.163 Au


Entry 4:
K4Ho3SbS8, optimized geometry, DFT PBE; formation energy (no corrections) = -25.49 eV per formula unit; space-group type = R-3m, No. 166; crystal system = trigonal; total magnetization = 0.000 μB/cell; DFT total energy = -5.05 eV/atom
1.0
4.051 2.339 7.350
-4.051 2.339 7.350
0.000 -4.678 7.350
K Ho Sb S
4 3 1 8
Cartesian
0.000 0.000 0.000 K
-2.026 -1.170 7.350 K
-2.026 1.170 14.700 K
0.000 2.339 7.350 K
-4.051 0.000 11.025 Ho
-2.026 1.170 3.675 Ho
2.026 1.170 3.675 Ho
0.000 0.000 11.025 Sb
-2.044 -1.180 12.504 S
0.000 0.000 5.151 S
0.000 -2.360 9.546 S
-2.044 1.180 9.546 S
2.044 -1.180 12.504 S
0.000 2.360 12.504 S
0.000 0.000 16.899 S
2.044 1.180 9.546 S


Entry 5:
DyPuGe, optimized geometry, DFT PBE; space-group type = P3m1, No. 156; energy of formation = -224 meV per atom; crystal system = trigonal; excess energy over the best structure of this formula in the dataset = 0.99 eV/f.u.; total magnetization = 6.138 μB/cell; DFT total energy = -8.07 eV/atom
1.0
4.877 0.000 0.000
-2.439 4.224 0.000
0.000 0.000 3.624
Dy Pu Ge
1 1 1
Cartesian
0.000 0.000 0.000 Dy
2.439 1.408 1.601 Pu
0.000 2.816 2.715 Ge


Entry 6:
TlReHg2, optimized geometry, DFT PBE; space-group type = R3m, No. 160; energy of formation = 708 meV per atom; crystal system = trigonal; excess energy over the best structure of this formula in the dataset = 0.43 eV/f.u.; total magnetization = 0.000 μB/cell; DFT total energy = -3.15 eV/atom
1.0
1.485 0.857 11.776
-1.485 0.857 11.776
0.000 -1.714 11.776
Tl Re Hg
1 1 2
Cartesian
0.000 0.000 0.000 Tl
0.000 0.000 26.150 Re
0.000 0.000 8.136 Hg
0.000 0.000 16.817 Hg


Entry 7:
Tl12I3F5, optimized geometry, DFT PBE; formation energy (no corrections) = -17.28 eV per formula unit; space-group type = Ia-3d, No. 230; crystal system = cubic; total magnetization = 0.000 μB/cell; DFT total energy = -2.98 eV/atom
1.0
-8.895 8.895 8.895
8.895 -8.895 8.895
8.895 8.895 -8.895
Tl I F
48 12 20
Cartesian
2.498 -0.799 0.920 Tl
10.844 5.367 -5.247 Tl
8.096 -0.920 2.498 Tl
14.142 -1.949 3.528 Tl
0.920 2.498 -0.799 Tl
12.423 3.648 -1.949 Tl
11.393 0.799 0.920 Tl
10.844 -3.528 5.247 Tl
5.367 5.247 -1.949 Tl
7.975 2.498 0.799 Tl
-0.799 0.920 2.498 Tl
5.247 -1.949 5.367 Tl
8.096 7.975 -2.498 Tl
5.247 1.949 3.528 Tl
7.975 -2.498 8.096 Tl
5.367 -5.247 10.844 Tl
2.498 8.096 -0.920 Tl
10.844 3.528 3.648 Tl
3.528 5.247 1.949 Tl
9.815 6.397 0.799 Tl
5.247 10.844 -3.528 Tl
8.096 0.920 6.397 Tl
1.949 3.528 5.247 Tl
2.498 0.799 7.975 Tl
6.397 8.096 0.920 Tl
6.946 5.367 3.648 Tl
0.799 7.975 2.498 Tl
3.648 -1.949 12.423 Tl
-0.920 2.498 8.096 Tl
5.367 3.648 6.946 Tl
-1.949 5.367 5.247 Tl
6.397 0.799 9.815 Tl
3.528 14.142 -1.949 Tl
0.920 11.393 0.799 Tl
3.648 6.946 5.367 Tl
0.799 0.920 11.393 Tl
3.648 10.844 3.528 Tl
9.695 7.975 6.397 Tl
0.920 6.397 8.096 Tl
3.528 3.648 10.844 Tl
-1.949 12.423 3.648 Tl
-2.498 8.096 7.975 Tl
-3.528 5.247 10.844 Tl
7.975 6.397 9.695 Tl
-5.247 10.844 5.367 Tl
0.799 9.815 6.397 Tl
-1.949 3.528 14.142 Tl
6.397 9.695 7.975 Tl
4.448 2.224 0.000 I
8.895 4.448 -2.224 I
2.224 0.000 4.448 I
11.119 0.000 4.448 I
0.000 4.448 2.224 I
4.448 -2.224 8.895 I
4.448 11.119 0.000 I
8.895 4.448 6.671 I
-2.224 8.895 4.448 I
6.671 8.895 4.448 I
0.000 4.448 11.119 I
4.448 6.671 8.895 I
0.000 0.000 0.000 F
4.448 4.448 -4.448 F
4.448 -4.448 4.448 F
8.895 0.000 0.000 F
13.343 2.224 0.000 F
8.895 -4.448 6.671 F
6.671 8.895 -4.448 F
6.671 0.000 4.448 F
4.448 6.671 0.000 F
8.895 4.448 2.224 F
-4.448 4.448 4.448 F
0.000 8.895 0.000 F
0.000 0.000 8.895 F
4.448 4.448 4.448 F
0.000 4.448 6.671 F
4.448 2.224 8.895 F
2.224 8.895 4.448 F
2.224 0.000 13.343 F
0.000 13.343 2.224 F
-4.448 6.671 8.895 F


Entry 8:
Ce3Ge4Au, optimized geometry, DFT PBE; space-group type = Immm, No. 71; energy of formation = -553 meV per atom; crystal system = orthorhombic; total magnetization = 2.447 μB/cell; DFT total energy = -5.50 eV/atom
1.0
-2.190 3.067 7.429
2.190 -3.067 7.429
2.190 3.067 -7.429
Ce Ge Au
3 4 1
Cartesian
0.000 0.000 0.000 Ce
2.190 0.000 4.607 Ce
0.000 3.067 2.822 Ce
2.190 1.274 -1.854 Ge
2.190 1.274 1.854 Ge
0.000 1.793 5.575 Ge
0.000 1.793 9.283 Ge
0.000 0.000 7.429 Au


Entry 9:
ZrV2Pt2, optimized geometry, DFT PBE; space-group type = I4/mmm, No. 139; energy of formation = -433 meV per atom; crystal system = tetragonal; excess energy over the best structure of this formula in the dataset = 0.15 eV/f.u.; total magnetization = 0.000 μB/cell; DFT total energy = -8.21 eV/atom
1.0
-1.772 1.772 6.718
1.772 -1.772 6.718
1.772 1.772 -6.718
Zr V Pt
1 2 2
Cartesian
0.000 0.000 0.000 Zr
1.772 0.000 3.359 V
0.000 1.772 3.359 V
0.000 0.000 5.362 Pt
0.000 0.000 8.074 Pt


Entry 10:
Ca2Ge2Au, optimized geometry, DFT PBE; space-group type = P4/mbm, No. 127; energy of formation = -600 meV per atom; crystal system = tetragonal; total magnetization = 0.000 μB/cell; DFT total energy = -3.90 eV/atom
1.0
7.092 0.000 0.000
0.000 7.092 0.000
0.000 0.000 4.552
Ca Ge Au
4 4 2
Cartesian
1.205 2.341 0.000 Ca
2.341 5.887 0.000 Ca
4.751 1.205 0.000 Ca
5.887 4.751 0.000 Ca
0.945 4.491 2.276 Ge
2.601 0.945 2.276 Ge
4.491 6.147 2.276 Ge
6.147 2.601 2.276 Ge
0.000 0.000 2.276 Au
3.546 3.546 2.276 Au


Entry 11:
SiTe2PbI, optimized geometry, DFT PBE; formation energy (no corrections) = 0.68 eV per formula unit; space-group type = P4/mmm, No. 123; crystal system = tetragonal; excess energy over the best structure of this formula in the dataset = 0.00 eV/f.u.; total magnetization = 0.000 μB/cell; DFT total energy = -3.26 eV/atom
1.0
5.382 0.000 0.000
0.000 5.382 0.000
0.000 0.000 5.546
Si Te Pb I
1 2 1 1
Cartesian
0.000 0.000 0.000 Si
0.000 2.691 0.000 Te
2.691 0.000 0.000 Te
2.691 2.691 2.773 Pb
0.000 0.000 2.773 I


Entry 12:
Mg4Cd2Ga, optimized geometry, DFT PBE; space-group type = P2_1/m, No. 11; energy of formation = -42 meV per atom; crystal system = monoclinic; excess energy over the best structure of this formula in the dataset = 0.02 eV/f.u.; total magnetization = 0.000 μB/cell; DFT total energy = -1.65 eV/atom
1.0
7.476 0.000 0.000
0.000 5.897 0.000
-2.931 0.000 7.067
Mg Cd Ga
8 4 2
Cartesian
-0.405 1.474 1.141 Mg
0.016 2.964 4.240 Mg
0.016 5.882 4.240 Mg
2.889 1.474 0.201 Mg
1.656 4.423 6.866 Mg
4.529 0.015 2.827 Mg
4.529 2.933 2.827 Mg
4.950 4.423 5.926 Mg
-0.699 4.423 1.698 Cd
2.153 4.423 1.360 Cd
2.392 1.474 5.707 Cd
5.244 1.474 5.369 Cd
2.001 1.474 2.808 Ga
2.544 4.423 4.259 Ga